DFT (PBE) results for DyCd3Ag after structural relaxation.

The space group is P2_1/m. The value obtained for the energy of formation from the pure elements is -0.1872 eV/atom.

a b c (Å): 4.9230 6.5757 6.9755
angles (deg): 91.98 90.00 90.00
With the nearest neighbours (Å) after each atom.
Positions (direct):
Dy: 0.3810 0.5975 0.1640  3 Ag 3.10-3.27, 9 Cd 3.22-3.45
Dy: 0.8810 0.0773 0.6420  3 Ag 3.10-3.27, 9 Cd 3.22-3.45
Cd: 0.8810 0.5502 0.4573  2 Cd 2.83-2.97, 3 Ag 2.85-3.08
Cd: 0.3810 0.1245 0.3488  2 Cd 2.83-2.97, 3 Ag 2.85-3.08
Cd: 0.8810 0.6380 0.8576  4 Cd 2.83-3.13, 1 Ag 2.86
Cd: 0.8810 0.2857 0.1035  1 Ag 2.77, 2 Cd 2.93-2.97
Cd: 0.3810 0.3891 0.7025  1 Ag 2.77, 2 Cd 2.93-2.97
Cd: 0.3810 0.0368 0.9485  4 Cd 2.83-3.13, 1 Ag 2.86
Ag: 0.3810 0.7924 0.6014  5 Cd 2.77-3.08
Ag: 0.8810 0.8824 0.2046  5 Cd 2.77-3.08

=====

DFT (PBE) results for DyCd2Ag after structural relaxation.

The space group is P2_1/m. The value obtained for the energy of formation from the pure elements is -0.2315 eV/atom.

a b c (Å): 4.9550 5.7085 6.4367
angles (deg): 90.05 90.00 90.00
With the nearest neighbours (Å) after each atom.
Positions (direct):
Dy: 0.7500 0.3816 0.7503  4 Ag 3.10-3.26, 8 Cd 3.13-3.44
Dy: 0.2500 0.6184 0.2497  4 Ag 3.10-3.26, 8 Cd 3.13-3.44
Cd: 0.7500 0.8503 0.0028  3 Ag 2.98-3.07, 4 Cd 3.01-3.25, 3 Dy 3.13-3.23
Cd: 0.2500 0.1497 0.9972  3 Ag 2.98-3.07, 4 Cd 3.01-3.25, 3 Dy 3.13-3.23
Cd: 0.7500 0.8499 0.4974  3 Ag 2.99-3.07, 4 Cd 3.01-3.25, 3 Dy 3.13-3.23
Cd: 0.2500 0.1501 0.5026  3 Ag 2.99-3.07, 4 Cd 3.01-3.25, 3 Dy 3.13-3.23
Ag: 0.7500 0.2924 0.2502  6 Cd 2.98-3.07, 4 Dy 3.10-3.26
Ag: 0.2500 0.7076 0.7498  6 Cd 2.98-3.07, 4 Dy 3.10-3.26

=====

DFT (PBE) results for DyCd2Ag8 after structural relaxation.

The space group is C2/m. The value obtained for the energy of formation from the pure elements is -0.0235 eV/atom.

a b c (Å): 5.1460 7.7949 8.2434
angles (deg): 61.78 72.21 49.75
With the nearest neighbours (Å) after each atom.
Positions (direct):
Dy: 0.5000 0.0000 0.0000  6 Ag 2.95-3.29
Cd: 0.0000 0.3192 0.3615  12 Ag 2.92-3.14
Cd: 0.0000 0.6808 0.6385  12 Ag 2.92-3.14
Ag: 0.7730 0.0946 0.2672  4 Ag 2.72-2.87, 1 Cd 3.02
Ag: 0.7730 0.3618 0.7328  4 Ag 2.72-2.87, 1 Cd 3.02
Ag: 0.2546 0.4945 0.0000  6 Ag 2.57-2.84
Ag: 0.5000 0.7967 0.4067  6 Ag 2.87-3.10, 1 Dy 2.95, 4 Cd 2.99-3.08
Ag: 0.5000 0.2033 0.5933  6 Ag 2.87-3.10, 1 Dy 2.95, 4 Cd 2.99-3.08
Ag: 0.7454 0.5055 0.0000  6 Ag 2.57-2.84
Ag: 0.2270 0.6382 0.2672  4 Ag 2.72-2.87, 1 Cd 3.02
Ag: 0.2270 0.9054 0.7328  4 Ag 2.72-2.87, 1 Cd 3.02

=====

DFT (PBE) results for DyCd5Ag4 after structural relaxation.

The space group is C2/m. The value obtained for the energy of formation from the pure elements is -0.0527 eV/atom.

a b c (Å): 4.5624 7.2740 7.3249
angles (deg): 88.82 108.15 90.00
With the nearest neighbours (Å) after each atom.
Positions (direct):
Dy: 0.5000 0.0000 0.0000  6 Ag 2.98-2.99, 4 Cd 3.31
Cd: 0.1720 0.9847 0.3441  4 Ag 2.85-3.02, 2 Cd 3.16
Cd: 0.1696 0.5295 0.3393  5 Ag 2.82-3.03
Cd: 0.8304 0.4705 0.6607  5 Ag 2.82-3.03
Cd: 0.5000 0.5000 0.0000  6 Ag 2.86
Cd: 0.8280 0.0153 0.6559  4 Ag 2.85-3.02, 2 Cd 3.16
Ag: 0.6640 0.2561 0.3280  7 Cd 2.82-3.03, 1 Dy 2.98, 2 Ag 3.09
Ag: 0.9862 0.7359 0.9723  6 Cd 2.86-3.19, 2 Dy 2.99, 2 Ag 3.09
Ag: 0.3360 0.7439 0.6720  7 Cd 2.82-3.03, 1 Dy 2.98, 2 Ag 3.09
Ag: 0.0138 0.2641 0.0277  6 Cd 2.86-3.19, 2 Dy 2.99, 2 Ag 3.09